The following is a DFT calculation (PBE-GGA) of crystalline Cs2NaAu at its relaxed geometry.

a b c (Å): 7.2025 7.2025 4.9613
angles (deg): 110.09 110.09 67.33
With the nearest neighbours (Å) after each atom.
Positions (direct):
Cs  0.1930  0.1930  0.1932  3 Au 3.81-3.91, 2 Na 4.17-4.18, 1 Cs 4.22
Cs  0.8070  0.8070  0.8068  3 Au 3.81-3.91, 2 Na 4.17-4.18, 1 Cs 4.22
Na  0.4726  0.5274  0.0000  2 Au 3.06
Au  0.2481  0.7519  0.5000  2 Na 3.06

Output
Space group = C2, No. 5
Spin magnetization = 0.00 μB per atom
Raw total energy = -1.7306 eV/atom
ΔH_f (0 K) = -60 kJ/mol of formula units
Energy above the most stable polymorph in this dataset = 0.022 eV/atom

***

The following is a DFT calculation (PBE-GGA) of crystalline Cs3Na2Au2 at its relaxed geometry.

a b c (Å): 8.3466 8.8755 16.5577
angles (deg): 90.00 90.00 90.00
With the nearest neighbours (Å) after each atom.
Positions (direct):
Cs  0.0631  0.0688  0.1148  4 Au 3.65-3.89
Cs  0.0631  0.0688  0.3852  4 Au 3.65-3.89
Cs  0.0631  0.4312  0.6148  4 Au 3.65-3.89
Cs  0.0631  0.4312  0.8852  4 Au 3.65-3.89
Cs  0.3702  0.7319  0.2500  2 Au 3.54-3.67, 2 Na 3.91
Cs  0.3702  0.7681  0.7500  2 Au 3.54-3.67, 2 Na 3.91
Cs  0.6298  0.2319  0.2500  2 Au 3.54-3.67, 2 Na 3.91
Cs  0.6298  0.2681  0.7500  2 Au 3.54-3.67, 2 Na 3.91
Cs  0.9369  0.5688  0.1148  4 Au 3.65-3.89
Cs  0.9369  0.5688  0.3852  4 Au 3.65-3.89
Cs  0.9369  0.9312  0.6148  4 Au 3.65-3.89
Cs  0.9369  0.9312  0.8852  4 Au 3.65-3.89
Na  0.3997  0.0815  0.5705  1 Na 3.22, 3 Au 3.23-3.40
Na  0.3997  0.0815  0.9295  1 Na 3.22, 3 Au 3.23-3.40
Na  0.3997  0.4185  0.0705  1 Na 3.22, 3 Au 3.23-3.40
Na  0.3997  0.4185  0.4295  1 Na 3.22, 3 Au 3.23-3.40
Na  0.6003  0.5815  0.5705  1 Na 3.22, 3 Au 3.23-3.40
Na  0.6003  0.5815  0.9295  1 Na 3.22, 3 Au 3.23-3.40
Na  0.6003  0.9185  0.0705  1 Na 3.22, 3 Au 3.23-3.40
Na  0.6003  0.9185  0.4295  1 Na 3.22, 3 Au 3.23-3.40
Au  0.2126  0.1387  0.7500  2 Na 3.40, 6 Cs 3.54-3.70
Au  0.2126  0.3613  0.2500  2 Na 3.40, 6 Cs 3.54-3.70
Au  0.2877  0.7500  0.0000  4 Na 3.23-3.30
Au  0.2877  0.7500  0.5000  4 Na 3.23-3.30
Au  0.7123  0.2500  0.0000  4 Na 3.23-3.30
Au  0.7123  0.2500  0.5000  4 Na 3.23-3.30
Au  0.7874  0.6387  0.7500  2 Na 3.40, 6 Cs 3.54-3.70
Au  0.7874  0.8613  0.2500  2 Na 3.40, 6 Cs 3.54-3.70

Output
Space group = Pbcm, No. 57
Spin magnetization = 0.00 μB per atom
Raw total energy = -1.8554 eV/atom
ΔH_f (0 K) = -119 kJ/mol of formula units

***

The following is a DFT calculation (PBE-GGA) of crystalline Cs2NaAu2 at its relaxed geometry.

a b c (Å): 7.2492 7.2492 8.9344
angles (deg): 100.35 100.35 59.75
With the nearest neighbours (Å) after each atom.
Positions (direct):
Cs  0.0074  0.2871  0.1385  6 Au 3.64-3.95, 1 Na 3.86
Cs  0.2871  0.0074  0.6385  6 Au 3.64-3.95, 1 Na 3.86
Cs  0.7129  0.9926  0.3615  6 Au 3.64-3.95, 1 Na 3.86
Cs  0.9926  0.7129  0.8615  6 Au 3.64-3.95, 1 Na 3.86
Na  0.4280  0.5720  0.2500  4 Au 3.11-3.16
Na  0.5720  0.4280  0.7500  4 Au 3.11-3.16
Au  0.1987  0.5081  0.4899  1 Au 2.98, 2 Na 3.11-3.16
Au  0.4919  0.8013  0.0101  1 Au 2.98, 2 Na 3.11-3.16
Au  0.5081  0.1987  0.9899  1 Au 2.98, 2 Na 3.11-3.16
Au  0.8013  0.4919  0.5101  1 Au 2.98, 2 Na 3.11-3.16

Output
Space group = C2/c, No. 15
Spin magnetization = 0.00 μB per atom
Raw total energy = -2.1819 eV/atom
ΔH_f (0 K) = -128 kJ/mol of formula units
Energy above the most stable polymorph in this dataset = 0.000 eV/atom

***

The following is a DFT calculation (PBE-GGA) of crystalline Cs3NaAu3 at its relaxed geometry.

a b c (Å): 8.8547 8.8547 8.6776
angles (deg): 91.64 91.64 110.84
With the nearest neighbours (Å) after each atom.
Positions (direct):
Cs  0.1529  0.8471  0.0000  6 Au 3.58-3.77
Cs  0.2277  0.7723  0.5000  4 Au 3.64-3.67
Cs  0.3715  0.3715  0.1605  5 Au 3.60-3.85, 1 Cs 3.89
Cs  0.6285  0.6285  0.8395  5 Au 3.60-3.85, 1 Cs 3.89
Cs  0.7723  0.2277  0.5000  4 Au 3.64-3.67
Cs  0.8471  0.1529  0.0000  6 Au 3.58-3.77
Na  0.2350  0.2350  0.6367  4 Au 2.92-3.00
Na  0.7650  0.7650  0.3633  4 Au 2.92-3.00
Au  0.0597  0.0597  0.3466  2 Na 2.97-3.00, 1 Au 2.97
Au  0.1633  0.4870  0.8111  1 Na 2.92
Au  0.4870  0.1633  0.8111  1 Na 2.92
Au  0.5130  0.8367  0.1889  1 Na 2.92
Au  0.8367  0.5130  0.1889  1 Na 2.92
Au  0.9403  0.9403  0.6534  2 Na 2.97-3.00, 1 Au 2.97

Output
Space group = C2/m, No. 12
Spin magnetization = 0.00 μB per atom
Raw total energy = -2.2164 eV/atom
ΔH_f (0 K) = -174 kJ/mol of formula units
Energy above the most stable polymorph in this dataset = 0.035 eV/atom

***

The following is a DFT calculation (PBE-GGA) of crystalline Cs3NaAu3 at its relaxed geometry.

a b c (Å): 7.1338 7.1338 17.5302
angles (deg): 110.48 110.48 42.22
With the nearest neighbours (Å) after each atom.
Positions (direct):
Cs  0.0198  0.0198  0.2727  5 Au 3.63-3.82
Cs  0.1764  0.1764  0.5754  7 Au 3.70-4.00
Cs  0.3606  0.3606  0.8732  6 Au 3.72-3.76, 4 Na 3.79-4.04
Cs  0.6394  0.6394  0.1268  6 Au 3.72-3.76, 4 Na 3.79-4.04
Cs  0.8236  0.8236  0.4246  7 Au 3.70-4.00
Cs  0.9802  0.9802  0.7273  5 Au 3.63-3.82
Na  0.3185  0.3185  0.0809  4 Au 3.10-3.23
Na  0.6815  0.6815  0.9191  4 Au 3.10-3.23
Au  0.0778  0.0778  0.9618  1 Au 2.86, 3 Na 3.10-3.14
Au  0.3241  0.3241  0.2668  1 Au 3.00, 1 Na 3.23
Au  0.4778  0.4778  0.5777  2 Au 3.00
Au  0.5222  0.5222  0.4223  2 Au 3.00
Au  0.6759  0.6759  0.7332  1 Au 3.00, 1 Na 3.23
Au  0.9222  0.9222  0.0382  1 Au 2.86, 3 Na 3.10-3.14

Output
Space group = C2/m, No. 12
Spin magnetization = 0.00 μB per atom
Raw total energy = -2.2510 eV/atom
ΔH_f (0 K) = -197 kJ/mol of formula units
Energy above the most stable polymorph in this dataset = 0.000 eV/atom

***

The following is a DFT calculation (PBE-GGA) of crystalline CsNa3Au at its relaxed geometry.

a b c (Å): 5.9256 5.9256 5.9256
angles (deg): 90.00 90.00 90.00
With the nearest neighbours (Å) after each atom.
Positions (direct):
Cs  0.0000  0.0000  0.0000  12 Na 4.19
Na  0.0000  0.5000  0.5000  2 Au 2.96
Na  0.5000  0.0000  0.5000  2 Au 2.96
Na  0.5000  0.5000  0.0000  2 Au 2.96
Au  0.5000  0.5000  0.5000  6 Na 2.96

Output
Space group = Pm-3m, No. 221
Spin magnetization = 0.00 μB per atom
Raw total energy = -1.7166 eV/atom
ΔH_f (0 K) = -48 kJ/mol of formula units
Energy above the most stable polymorph in this dataset = 0.053 eV/atom

***

The following is a DFT calculation (PBE-GGA) of crystalline Cs4Na4Au at its relaxed geometry.

a b c (Å): 11.8103 11.8103 8.6966
angles (deg): 90.00 90.00 90.00
With the nearest neighbours (Å) after each atom.
Positions (direct):
Cs  0.0027  0.7495  0.0677  1 Au 4.07, 5 Na 4.09-4.42
Cs  0.2495  0.9973  0.5677  1 Au 4.07, 5 Na 4.09-4.42
Cs  0.2505  0.5027  0.5677  1 Au 4.07, 5 Na 4.09-4.42
Cs  0.4973  0.7505  0.0677  1 Au 4.07, 5 Na 4.09-4.42
Cs  0.5027  0.2495  0.9323  1 Au 4.07, 5 Na 4.09-4.42
Cs  0.7495  0.4973  0.4323  1 Au 4.07, 5 Na 4.09-4.42
Cs  0.7505  0.0027  0.4323  1 Au 4.07, 5 Na 4.09-4.42
Cs  0.9973  0.2505  0.9323  1 Au 4.07, 5 Na 4.09-4.42
Na  0.0299  0.2505  0.4005  1 Au 2.91
Na  0.2495  0.0299  0.0995  1 Au 2.91
Na  0.2505  0.4701  0.0995  1 Au 2.91
Na  0.4701  0.2495  0.4005  1 Au 2.91
Na  0.5299  0.7505  0.5995  1 Au 2.91
Na  0.7495  0.5299  0.9005  1 Au 2.91
Na  0.7505  0.9701  0.9005  1 Au 2.91
Na  0.9701  0.7495  0.5995  1 Au 2.91
Au  0.2500  0.2500  0.2500  4 Na 2.91
Au  0.7500  0.7500  0.7500  4 Na 2.91

Output
Space group = P4_2/n, No. 86
Spin magnetization = 0.00 μB per atom
Raw total energy = -1.3432 eV/atom
ΔH_f (0 K) = -12 kJ/mol of formula units

***

The following is a DFT calculation (PBE-GGA) of crystalline CsNa3Au at its relaxed geometry.

a b c (Å): 6.9637 6.9637 6.9637
angles (deg): 90.00 90.00 90.00
With the nearest neighbours (Å) after each atom.
Positions (direct):
Cs  0.0000  0.0000  0.0000  6 Na 3.48
Na  0.0000  0.0000  0.5000  2 Cs 3.48
Na  0.0000  0.5000  0.0000  2 Cs 3.48
Na  0.5000  0.0000  0.0000  2 Cs 3.48
Au  0.5000  0.5000  0.5000  12 Na 4.92

Output
Space group = Pm-3m, No. 221
Spin magnetization = 0.00 μB per atom
Raw total energy = -0.8505 eV/atom
ΔH_f (0 K) = 370 kJ/mol of formula units
Energy above the most stable polymorph in this dataset = 0.919 eV/atom

***

The following is a DFT calculation (PBE-GGA) of crystalline CsNa9Au2 at its relaxed geometry.

a b c (Å): 10.5126 10.5126 10.5126
angles (deg): 100.65 100.65 129.08
With the nearest neighbours (Å) after each atom.
Positions (direct):
Cs  0.3750  0.6250  0.7500  18 Na 4.31-4.52, 4 Au 4.77
Cs  0.6250  0.3750  0.2500  18 Na 4.31-4.52, 4 Au 4.77
Na  0.1250  0.8750  0.2500  8 Na 3.47, 4 Au 3.54
Na  0.1514  0.5821  0.3230  2 Au 3.16-3.22, 6 Na 3.31-3.50
Na  0.1514  0.8285  0.5694  2 Au 3.16-3.22, 6 Na 3.31-3.50
Na  0.1715  0.2409  0.3230  2 Au 3.16-3.22, 6 Na 3.31-3.50
Na  0.1715  0.8486  0.9306  2 Au 3.16-3.22, 6 Na 3.31-3.50
Na  0.2409  0.1715  0.8230  2 Au 3.16-3.22, 6 Na 3.31-3.50
Na  0.2409  0.4179  0.0694  2 Au 3.16-3.22, 6 Na 3.31-3.50
Na  0.4179  0.2409  0.5694  2 Au 3.16-3.22, 6 Na 3.31-3.50
Na  0.4179  0.8486  0.1770  2 Au 3.16-3.22, 6 Na 3.31-3.50
Na  0.5821  0.1514  0.8230  2 Au 3.16-3.22, 6 Na 3.31-3.50
Na  0.5821  0.7591  0.4306  2 Au 3.16-3.22, 6 Na 3.31-3.50
Na  0.7591  0.5821  0.9306  2 Au 3.16-3.22, 6 Na 3.31-3.50
Na  0.7591  0.8285  0.1770  2 Au 3.16-3.22, 6 Na 3.31-3.50
Na  0.8285  0.1514  0.0694  2 Au 3.16-3.22, 6 Na 3.31-3.50
Na  0.8285  0.7591  0.6770  2 Au 3.16-3.22, 6 Na 3.31-3.50
Na  0.8486  0.1715  0.4306  2 Au 3.16-3.22, 6 Na 3.31-3.50
Na  0.8486  0.4179  0.6770  2 Au 3.16-3.22, 6 Na 3.31-3.50
Na  0.8750  0.1250  0.7500  8 Na 3.47, 4 Au 3.54
Au  0.0000  0.0000  0.0000  8 Na 3.16-3.22
Au  0.0000  0.0000  0.5000  8 Na 3.16-3.22
Au  0.0000  0.5000  0.0000  8 Na 3.16-3.22
Au  0.5000  0.0000  0.5000  8 Na 3.16-3.22

Output
Space group = I4_1/amd, No. 141
Spin magnetization = 0.00 μB per atom
Raw total energy = -1.7157 eV/atom
ΔH_f (0 K) = -126 kJ/mol of formula units

***

The following is a DFT calculation (PBE-GGA) of crystalline Cs2Na5Au4 at its relaxed geometry.

a b c (Å): 8.1321 8.1321 9.1325
angles (deg): 117.56 117.56 50.00
With the nearest neighbours (Å) after each atom.
Positions (direct):
Cs  0.2405  0.2405  0.1345  3 Au 3.59-3.84
Cs  0.7595  0.7595  0.8655  3 Au 3.59-3.84
Na  0.1496  0.6600  0.5944  4 Au 2.96-3.20
Na  0.3400  0.8504  0.4056  4 Au 2.96-3.20
Na  0.5000  0.5000  0.0000  2 Au 2.94
Na  0.6600  0.1496  0.5944  4 Au 2.96-3.20
Na  0.8504  0.3400  0.4056  4 Au 2.96-3.20
Au  0.0898  0.0898  0.6772  2 Au 2.77-2.96, 4 Na 2.96-3.03
Au  0.2853  0.2853  0.7015  1 Au 2.77, 3 Na 2.94-2.98
Au  0.7147  0.7147  0.2985  1 Au 2.77, 3 Na 2.94-2.98
Au  0.9102  0.9102  0.3228  2 Au 2.77-2.96, 4 Na 2.96-3.03

Output
Space group = C2/m, No. 12
Spin magnetization = 0.00 μB per atom
Raw total energy = -2.1703 eV/atom
ΔH_f (0 K) = -238 kJ/mol of formula units

***

The following is a DFT calculation (PBE-GGA) of crystalline Cs7Na2Au2 at its relaxed geometry.

a b c (Å): 9.5681 9.5681 9.3907
angles (deg): 93.22 93.22 69.50
With the nearest neighbours (Å) after each atom.
Positions (direct):
Cs  0.0000  0.0000  0.0000  2 Au 3.87
Cs  0.0457  0.4982  0.7549  2 Au 3.62-3.63
Cs  0.4512  0.4512  0.2332  1 Au 3.62
Cs  0.4982  0.0457  0.7549  2 Au 3.62-3.63
Cs  0.5018  0.9543  0.2451  2 Au 3.62-3.63
Cs  0.5488  0.5488  0.7668  1 Au 3.62
Cs  0.9543  0.5018  0.2451  2 Au 3.62-3.63
Na  0.1594  0.8406  0.5000  1 Na 3.48
Na  0.8406  0.1594  0.5000  1 Na 3.48
Au  0.2468  0.2468  0.0306  6 Cs 3.62-3.87
Au  0.7532  0.7532  0.9694  6 Cs 3.62-3.87

Output
Space group = C2/m, No. 12
Spin magnetization = 0.00 μB per atom
Raw total energy = -1.4698 eV/atom
ΔH_f (0 K) = -97 kJ/mol of formula units

***

The following is a DFT calculation (PBE-GGA) of crystalline CsNa4Au2 at its relaxed geometry.

a b c (Å): 9.4673 9.4673 5.0009
angles (deg): 90.00 90.00 90.00
With the nearest neighbours (Å) after each atom.
Positions (direct):
Cs  0.0000  0.0000  0.0000  6 Au 3.71-3.89, 8 Na 4.13
Cs  0.5000  0.5000  0.5000  6 Au 3.71-3.89, 8 Na 4.13
Na  0.0885  0.3360  0.5000  3 Au 3.12-3.14, 1 Na 3.31
Na  0.1640  0.5885  0.0000  3 Au 3.12-3.14, 1 Na 3.31
Na  0.3360  0.0885  0.5000  3 Au 3.12-3.14, 1 Na 3.31
Na  0.4115  0.8360  0.0000  3 Au 3.12-3.14, 1 Na 3.31
Na  0.5885  0.1640  0.0000  3 Au 3.12-3.14, 1 Na 3.31
Na  0.6640  0.9115  0.5000  3 Au 3.12-3.14, 1 Na 3.31
Na  0.8360  0.4115  0.0000  3 Au 3.12-3.14, 1 Na 3.31
Na  0.9115  0.6640  0.5000  3 Au 3.12-3.14, 1 Na 3.31
Au  0.2229  0.7771  0.5000  6 Na 3.12-3.14
Au  0.2771  0.2771  0.0000  6 Na 3.12-3.14
Au  0.7229  0.7229  0.0000  6 Na 3.12-3.14
Au  0.7771  0.2229  0.5000  6 Na 3.12-3.14

Output
Space group = P4_2/mnm, No. 136
Spin magnetization = 0.00 μB per atom
Raw total energy = -2.0204 eV/atom
ΔH_f (0 K) = -141 kJ/mol of formula units
Energy above the most stable polymorph in this dataset = 0.000 eV/atom